A plane-wave DFT calculation with PBE was carried out for a geometry-optimized CoMo2C structure.

Geometry as CIF:
```
data_CoMo2C
_symmetry_space_group_name_H-M 'I -4 2 d'
_symmetry_Int_Tables_number 122
_symmetry_space_group_name_Hall 'I -4 2bw'
_cell_length_a 4.926
_cell_length_b 4.926
_cell_length_c 10.056
_cell_angle_alpha 90.00
_cell_angle_beta 90.00
_cell_angle_gamma 90.00
loop_
_atom_site_label
_atom_site_type_symbol
_atom_site_fract_x
_atom_site_fract_y
_atom_site_fract_z
Co1 Co 0.000 0.000 0.000
Mo1 Mo 0.201 0.250 0.625
C1 C 0.000 0.000 0.500
```

Values from the calculation:
The value obtained for the total DFT energy (no corrections) is -8.7269 eV per atom. The value obtained for the calculated volume is 243.98 Å³ per cell. The calculation puts the formation energy from the elements at 298 kJ/mol of formula units.